A crystal of Lu3GaC relaxed with PBEsol, computed with SCAN.

abc: 4.6590 4.6590 4.6590
angles: 90.00 90.00 90.00
Space group Pm-3m (No. 221)
Unique sites:
Lu: 0.0000 0.0000 0.5000 [3 per cell]
Ga: 0.5000 0.5000 0.5000 [1 per cell]
C: 0.0000 0.0000 0.0000 [1 per cell]

Values from the calculation:
E_form: -652 meV/atom
Electronic total energy: -39.15 eV per atom